LiMnZn2 PBE-GGA optimized geometry; E_form = -0.047 eV/atom; M_tot = 2.8 μB per formula unit
1.0
-1.523 -1.545 1.758
-0.532 -1.816 -2.057
5.311 -5.535 -0.263
Zn Li Mn
2 1 1
Cartesian
5.259 -5.503 -0.280
2.442 -3.707 -1.143
0.433 -2.610 0.299
2.823 -6.286 -0.861